Here is a geometry-optimized Na2Cr2AsO6 structure from Alexandria. Energies are from PBE+U.

Properties
total DFT energy (no corrections) = -6.42 eV per atom
density of states at the Fermi level = 0.033 states/eV per atom

```
Na2Cr2AsO6
1.0
2.622 -4.550 0.000
2.622 4.550 0.000
-1.733 0.000 5.515
Na Cr As O
2 2 1 6
Direct
0.168 0.832 0.000 Na
0.832 0.168 0.000 Na
0.334 0.666 0.500 Cr
0.666 0.334 0.500 Cr
0.000 0.000 0.500 As
0.057 0.398 0.689 O
0.267 0.267 0.311 O
0.398 0.057 0.689 O
0.602 0.943 0.311 O
0.733 0.733 0.689 O
0.943 0.602 0.311 O
```